Material: Tb2Tm2Sc3
Method: DFT, PBE
State: optimized geometry

CIF file:
```
data_Tb2Tm2Sc3
_space_group_name_H-M_alt 'I 21 3'
_space_group_IT_number 199
_space_group_name_Hall 'I 2b 2c 3'
_cell_length_a 9.291
_cell_length_b 9.291
_cell_length_c 9.291
_cell_angle_alpha 90.00
_cell_angle_beta 90.00
_cell_angle_gamma 90.00
loop_
_atom_site_label
_atom_site_fract_x
_atom_site_fract_y
_atom_site_fract_z
Tb1 0.091 0.409 0.591
Tm1 0.207 0.207 0.207
Sc1 0.000 0.250 0.946
```


Material: TbTm7Sc3
Method: DFT, PBE
State: optimized geometry

CIF file:
```
data_TbTm7Sc3
_space_group_name_H-M_alt 'I m m m'
_space_group_IT_number 71
_space_group_name_Hall '-I 2 2'
_cell_length_a 5.622
_cell_length_b 10.541
_cell_length_c 10.966
_cell_angle_alpha 90.00
_cell_angle_beta 90.00
_cell_angle_gamma 90.00
loop_
_atom_site_label
_atom_site_fract_x
_atom_site_fract_y
_atom_site_fract_z
Tb1 0.000 0.000 0.000
Tm1 0.000 0.193 0.298
Tm2 0.000 0.304 0.000
Tm3 0.000 0.500 0.500
Sc1 0.000 0.000 0.500
Sc2 0.000 0.500 0.212
```


Material: TbTm12Sc2
Method: DFT, PBE
State: optimized geometry

CIF file:
```
data_TbTm12Sc2
_space_group_name_H-M_alt 'P 4/n b m'
_space_group_IT_number 125
_cell_length_a 6.230
_cell_length_b 6.230
_cell_length_c 24.726
_cell_angle_alpha 90.00
_cell_angle_beta 90.00
_cell_angle_gamma 90.00
loop_
_space_group_symop_operation_xyz
'x,y,z'
'-x,-y,-z'
'-y+1/2,x,z'
'y+1/2,-x,-z'
'-x+1/2,-y+1/2,z'
'x+1/2,y+1/2,-z'
'y,-x+1/2,z'
'-y,x+1/2,-z'
'x,-y+1/2,-z'
'-x,y+1/2,z'
'-y+1/2,-x+1/2,-z'
'y+1/2,x+1/2,z'
'-x+1/2,y,-z'
'x+1/2,-y,z'
'y,x,-z'
'-y,-x,z'
loop_
_atom_site_label
_atom_site_fract_x
_atom_site_fract_y
_atom_site_fract_z
Tb1 0.250 0.750 0.000
Tm1 0.000 0.000 0.113
Tm2 0.080 0.580 0.439
Tm3 0.250 0.250 0.216
Tm4 0.250 0.250 0.340
Sc1 0.250 0.750 0.277
```


| no. | spin magnetization (μB/f.u.) | energy of formation from the pure elements (meV/atom) |
| --- | --- | --- |
| 1 | 0.00 | 240.6 |
| 2 | 0.38 | 283.2 |
| 3 | 0.00 | 420.5 |